No. 1
Below is a relaxed Pm5Y6 crystal, with properties calculated at the GGA-PBE level.

The structure belongs to space group C2/m (No. 12); the cell edges are 9.2132, 13.1040 and 6.4535 Å and the angles 90.00°, 107.39° and 90.00°. The inequivalent atoms are Pm at (0.0000, 0.0000, 0.0000), Pm at (0.0000, 0.1285, 0.5000), Pm at (0.0000, 0.2602, 0.0000), Y at (0.1644, 0.5000, 0.1892) and Y at (0.1777, 0.3684, 0.6716).

The final energy comes out at -5.551 eV per atom.



No. 2
Below is a relaxed Pm2Y crystal, with properties calculated at the GGA-PBE level.

The structure belongs to space group I4_1/amd (No. 141, origin choice 2); the cell edges are 3.5099, 3.5099 and 33.4961 Å and the angles 90.00°, 90.00° and 90.00°. The inequivalent atoms are Pm at (0.0000, 0.2500, 0.2966) and Y at (0.0000, 0.2500, 0.8750).

The value obtained for the energy above the most stable polymorph in this dataset is 126 meV per atom.



No. 3
Below is a relaxed Pm2Y crystal, with properties calculated at the GGA-PBE level.

The structure belongs to space group C2/m (No. 12); the cell edges are 18.8336, 3.6282 and 6.2624 Å and the angles 90.00°, 109.20° and 90.00°. The inequivalent atoms are Pm at (0.0829, 0.0000, 0.2488), Pm at (0.2493, 0.0000, 0.7484) and Y at (0.0827, 0.5000, 0.7494).

The value obtained for the energy above the most stable polymorph in this dataset is 0 meV per atom.



No. 4
Below is a relaxed Pm3Y7 crystal, with properties calculated at the GGA-PBE level.

The structure belongs to space group P6_3mc (No. 186); the cell edges are 10.8292, 10.8292 and 6.5464 Å and the angles 90.00°, 90.00° and 120.00°. The inequivalent atoms are Pm at (0.2020, 0.4040, 0.0000), Y at (0.0595, 0.5297, 0.3379), Y at (0.1210, 0.2420, 0.5206) and Y at (0.3333, 0.6667, 0.6603).

The value obtained for the energy above the most stable polymorph in this dataset is 148 meV per atom.



No. 5
Below is a relaxed PmY7 crystal, with properties calculated at the GGA-PBE level.

The structure belongs to space group Immm (No. 71); the cell edges are 3.5445, 11.2328 and 13.1533 Å and the angles 90.00°, 90.00° and 90.00°. The inequivalent atoms are Pm at (0.0000, 0.0000, 0.0000), Y at (0.0000, 0.2307, 0.3671), Y at (0.0000, 0.5000, 0.0000) and Y at (0.0000, 0.5000, 0.2580).

The value obtained for the energy above the most stable polymorph in this dataset is 9 meV per atom.



No. 6
Below is a relaxed Pm3YZn2 crystal, with properties calculated at the GGA-PBE level.

The structure belongs to space group Pmc2_1 (No. 26); the cell edges are 5.1603, 9.3267 and 6.8058 Å and the angles 90.00°, 90.00° and 90.00°. The inequivalent atoms are Pm at (0.0000, 0.0574, 0.0000), Pm at (0.0000, 0.3312, 0.3377), Pm at (0.5000, 0.1737, 0.6776), Y at (0.5000, 0.4440, 0.0227), Zn at (0.0000, 0.3496, 0.7892) and Zn at (0.5000, 0.1542, 0.2301).

The value obtained for the energy above the most stable polymorph in this dataset is 0 meV per atom.



No. 7
Below is a relaxed PmYZn crystal, with properties calculated at the GGA-PBE level.

The structure belongs to space group P3m1 (No. 156); the cell edges are 5.0167, 5.0167 and 3.7670 Å and the angles 90.00°, 90.00° and 120.00°. The inequivalent atoms are Pm at (0.0000, 0.0000, 0.0000), Y at (0.6667, 0.3333, 0.4557) and Zn at (0.3333, 0.6667, 0.6902).

The value obtained for the energy above the most stable polymorph in this dataset is 163 meV per atom.



No. 8
Below is a relaxed Pm2YZn2 crystal, with properties calculated at the GGA-PBE level.

The structure belongs to space group P2_1/m (No. 11); the cell edges are 3.6729, 5.1902 and 13.6893 Å and the angles 90.00°, 97.74° and 90.00°. The inequivalent atoms are Pm at (0.0462, 0.2500, 0.0906), Pm at (0.2310, 0.2500, 0.4633), Y at (0.1435, 0.7500, 0.2850), Zn at (0.3610, 0.7500, 0.7229) and Zn at (0.4475, 0.2500, 0.8960).

The value obtained for the energy above the most stable polymorph in this dataset is 0 meV per atom.



No. 9
Below is a relaxed Pm5Y4Zn crystal, with properties calculated at the GGA-PBE level.

The structure belongs to space group P4/mmm (No. 123); the cell edges are 3.6370, 3.6370 and 23.9573 Å and the angles 90.00°, 90.00° and 90.00°. The inequivalent atoms are Pm at (0.0000, 0.0000, 0.0000), Pm at (0.0000, 0.0000, 0.2112), Pm at (0.0000, 0.0000, 0.4243), Y at (0.5000, 0.5000, 0.1053), Y at (0.5000, 0.5000, 0.3160) and Zn at (0.5000, 0.5000, 0.5000).

The final energy comes out at -5.138 eV per atom.



No. 10
Below is a relaxed Pm2Y8Zn crystal, with properties calculated at the GGA-PBE level.

The structure belongs to space group C2/m (No. 12); the cell edges are 19.3245, 5.5412 and 6.4648 Å and the angles 90.00°, 94.49° and 90.00°. The inequivalent atoms are Pm at (0.2425, 0.0000, 0.3326), Y at (0.0421, 0.0000, 0.2541), Y at (0.0759, 0.5000, 0.6128), Y at (0.1542, 0.5000, 0.1276), Y at (0.1557, 0.0000, 0.8113) and Zn at (0.0000, 0.5000, 0.0000).

The final energy comes out at -5.698 eV per atom.



No. 11
Below is a relaxed PmYZn crystal, with properties calculated at the GGA-PBE level.

The structure belongs to space group I4mm (No. 107); the cell edges are 3.6334, 3.6334 and 12.3607 Å and the angles 90.00°, 90.00° and 90.00°. The inequivalent atoms are Pm at (0.0000, 0.0000, 0.0000), Y at (0.0000, 0.0000, 0.7134) and Zn at (0.0000, 0.0000, 0.3493).

The value obtained for the energy above the most stable polymorph in this dataset is 0 meV per atom.



No. 12
Below is a relaxed PmYZn6 crystal, with properties calculated at the GGA-PBE level.

The structure belongs to space group Amm2 (No. 38); the cell edges are 4.4124, 6.5916 and 10.6641 Å and the angles 90.00°, 90.00° and 90.00°. The inequivalent atoms are Pm at (0.0000, 0.0000, 0.0000), Y at (0.5000, 0.0000, 0.3036), Zn at (0.0000, 0.0000, 0.4946), Zn at (0.0000, 0.2068, 0.7326), Zn at (0.5000, 0.0000, 0.8050) and Zn at (0.5000, 0.2043, 0.5710).

The final energy comes out at -2.672 eV per atom.



No. 13
Below is a relaxed PmY4Zn5 crystal, with properties calculated at the GGA-PBE level.

The structure belongs to space group P4/mmm (No. 123); the cell edges are 3.5928, 3.5928 and 18.0269 Å and the angles 90.00°, 90.00° and 90.00°. The inequivalent atoms are Pm at (0.0000, 0.0000, 0.0000), Y at (0.0000, 0.0000, 0.2026), Y at (0.0000, 0.0000, 0.4011), Zn at (0.5000, 0.5000, 0.1060), Zn at (0.5000, 0.5000, 0.3017) and Zn at (0.5000, 0.5000, 0.5000).

The final energy comes out at -4.045 eV per atom.



No. 14
Below is a relaxed Pm12Y3Zn crystal, with properties calculated at the GGA-PBE level.

The structure belongs to space group P4/mmm (No. 123); the cell edges are 5.0524, 5.0524 and 20.4436 Å and the angles 90.00°, 90.00° and 90.00°. The inequivalent atoms are Pm at (0.0000, 0.0000, 0.0000), Pm at (0.0000, 0.0000, 0.2428), Pm at (0.0000, 0.0000, 0.5000), Pm at (0.0000, 0.5000, 0.1174), Pm at (0.0000, 0.5000, 0.3724), Y at (0.5000, 0.5000, 0.2453), Y at (0.5000, 0.5000, 0.5000) and Zn at (0.5000, 0.5000, 0.0000).

The final energy comes out at -4.841 eV per atom.



No. 15
Below is a relaxed PmYZn crystal, with properties calculated at the GGA-PBE level.

The structure belongs to space group Pnma (No. 62); the cell edges are 10.0150, 5.0118 and 7.1214 Å and the angles 90.00°, 90.00° and 90.00°. The inequivalent atoms are Pm at (0.1265, 0.2500, 0.0049), Y at (0.1235, 0.2500, 0.5045) and Zn at (0.1257, 0.7500, 0.2553).

The value obtained for the energy above the most stable polymorph in this dataset is 234 meV per atom.



No. 16
Below is a relaxed PmYZn2 crystal, with properties calculated at the GGA-PBE level.

The structure belongs to space group Fm-3m (No. 225); the cell edges are 7.2450, 7.2450 and 7.2450 Å and the angles 90.00°, 90.00° and 90.00°. The inequivalent atoms are Pm at (0.0000, 0.0000, 0.0000), Y at (0.0000, 0.0000, 0.5000) and Zn at (0.2500, 0.2500, 0.2500).

The final energy comes out at -3.776 eV per atom.



No. 17
Below is a relaxed PmY2Zn9 crystal, with properties calculated at the GGA-PBE level.

The structure belongs to space group R-3m (No. 166, hexagonal axes); the cell edges are 5.4708, 5.4708 and 25.8439 Å and the angles 90.00°, 90.00° and 120.00°. The inequivalent atoms are Pm at (0.0000, 0.0000, 0.0000), Y at (0.0000, 0.0000, 0.1401), Zn at (0.0000, 0.0000, 0.3351), Zn at (0.0000, 0.0000, 0.5000) and Zn at (0.0064, 0.5032, 0.9172).

The final energy comes out at -2.758 eV per atom.



No. 18
Below is a relaxed Pm2YZn crystal, with properties calculated at the GGA-PBE level.

The structure belongs to space group R3m (No. 160, hexagonal axes); the cell edges are 3.6670, 3.6670 and 31.3363 Å and the angles 90.00°, 90.00° and 120.00°. The inequivalent atoms are Pm at (0.0000, 0.0000, 0.0000), Pm at (0.0000, 0.0000, 0.1879), Y at (0.0000, 0.0000, 0.4273) and Zn at (0.0000, 0.0000, 0.5937).

The value obtained for the energy above the most stable polymorph in this dataset is 131 meV per atom.



No. 19
Below is a relaxed Pm2YZn6 crystal, with properties calculated at the GGA-PBE level.

The structure belongs to space group P6/mmm (No. 191); the cell edges are 7.8415, 7.8415 and 3.5799 Å and the angles 90.00°, 90.00° and 120.00°. The inequivalent atoms are Pm at (0.3333, 0.6667, 0.0000), Y at (0.0000, 0.0000, 0.0000) and Zn at (0.0000, 0.3307, 0.5000).

The final energy comes out at -2.992 eV per atom.



No. 20
Below is a relaxed Pm2YZn2 crystal, with properties calculated at the GGA-PBE level.

The structure belongs to space group P2_1/m (No. 11); the cell edges are 4.5450, 4.4197 and 13.4743 Å and the angles 90.00°, 99.56° and 90.00°. The inequivalent atoms are Pm at (0.0538, 0.2500, 0.1105), Pm at (0.2632, 0.7500, 0.5267), Y at (0.3651, 0.2500, 0.7287), Zn at (0.1673, 0.2500, 0.3332) and Zn at (0.4742, 0.2500, 0.9497).

The value obtained for the energy above the most stable polymorph in this dataset is 98 meV per atom.



No. 21
Below is a relaxed Pm2YZn crystal, with properties calculated at the GGA-PBE level.

The structure belongs to space group I4/mmm (No. 139); the cell edges are 5.1345, 5.1345 and 17.4756 Å and the angles 90.00°, 90.00° and 90.00°. The inequivalent atoms are Pm at (0.0000, 0.0000, 0.1442), Pm at (0.0000, 0.5000, 0.0000), Y at (0.0000, 0.0000, 0.3498) and Zn at (0.0000, 0.5000, 0.2500).

The value obtained for the energy above the most stable polymorph in this dataset is 0 meV per atom.



No. 22
Below is a relaxed PmYZn2 crystal, with properties calculated at the GGA-PBE level.

The structure belongs to space group P4/mmm (No. 123); the cell edges are 5.1046, 5.1046 and 3.6366 Å and the angles 90.00°, 90.00° and 90.00°. The inequivalent atoms are Pm at (0.0000, 0.0000, 0.0000), Y at (0.5000, 0.5000, 0.0000) and Zn at (0.0000, 0.5000, 0.5000).

The final energy comes out at -3.774 eV per atom.



No. 23
Below is a relaxed Pm2YZn4 crystal, with properties calculated at the GGA-PBE level.

The structure belongs to space group I4/mmm (No. 139); the cell edges are 5.2327, 5.2327 and 12.6317 Å and the angles 90.00°, 90.00° and 90.00°. The inequivalent atoms are Pm at (0.0000, 0.0000, 0.2197), Y at (0.0000, 0.0000, 0.5000) and Zn at (0.0000, 0.5000, 0.1063).

The final energy comes out at -3.167 eV per atom.



No. 24
Below is a relaxed Pm3YZn2 crystal, with properties calculated at the GGA-PBE level.

The structure belongs to space group P4/mmm (No. 123); the cell edges are 3.6647, 3.6647 and 12.3316 Å and the angles 90.00°, 90.00° and 90.00°. The inequivalent atoms are Pm at (0.0000, 0.0000, 0.0000), Pm at (0.0000, 0.0000, 0.2920), Y at (0.5000, 0.5000, 0.5000) and Zn at (0.5000, 0.5000, 0.1464).

The value obtained for the energy above the most stable polymorph in this dataset is 8 meV per atom.



Fermi-level density of states for the records above, in order: 1.164 1.585 1.461 1.644 1.494 0.601 1.245 1.099 1.344 1.673 1.250 0.433 1.191 1.471 1.581 1.234 0.582 1.425 0.875 1.287 1.128 0.966 0.772 1.017 states/eV per atom